No. 1
# Gd2YCo2B2As3 PBE relaxed
data_Gd2YCo2B2As3
_cell_length_a 3.944
_cell_length_b 3.944
_cell_length_c 22.696
_cell_angle_alpha 90.00
_cell_angle_beta 90.00
_cell_angle_gamma 90.00
_space_group_name_H-M_alt 'I 4/m m m'
_space_group_IT_number 139
_space_group_name_Hall '-I 4 2'
loop_
_atom_site_label
_atom_site_type_symbol
_atom_site_fract_x
_atom_site_fract_y
_atom_site_fract_z
_atom_site_occupancy
Gd1 Gd 0.000 0.000 0.145 1
Y1 Y 0.000 0.000 0.500 1
Co1 Co 0.000 0.500 0.250 1
B1 B 0.000 0.000 0.282 1
As1 As 0.000 0.000 0.000 1
As2 As 0.000 0.000 0.375 1
# **Electronic total energy**: -6.4943 eV/atom



No. 2
# LiHfCuSb PBE relaxed
data_LiHfCuSb
_cell_length_a 6.525
_cell_length_b 6.525
_cell_length_c 6.525
_cell_angle_alpha 90.00
_cell_angle_beta 90.00
_cell_angle_gamma 90.00
_space_group_name_H-M_alt 'F -4 3 m'
_space_group_IT_number 216
_space_group_name_Hall 'F -4 2 3'
loop_
_atom_site_label
_atom_site_type_symbol
_atom_site_fract_x
_atom_site_fract_y
_atom_site_fract_z
_atom_site_occupancy
Li1 Li 0.000 0.000 0.000 1
Hf1 Hf 0.250 0.250 0.750 1
Cu1 Cu 0.000 0.000 0.500 1
Sb1 Sb 0.250 0.250 0.250 1
# **Offset from the most stable computed form**: 0.000 eV per atom
# **Electronic total energy**: -4.8509 eV/atom



No. 3
# SmHoSn2Os2 PBE relaxed
data_SmHoSn2Os2
_cell_length_a 4.524
_cell_length_b 4.524
_cell_length_c 6.851
_cell_angle_alpha 90.00
_cell_angle_beta 90.00
_cell_angle_gamma 90.00
_space_group_name_H-M_alt 'P 4 m m'
_space_group_IT_number 99
loop_
_space_group_symop_operation_xyz
'x,y,z'
'-y,x,z'
'-x,-y,z'
'y,-x,z'
'-x,y,z'
'y,x,z'
'x,-y,z'
'-y,-x,z'
loop_
_atom_site_label
_atom_site_type_symbol
_atom_site_fract_x
_atom_site_fract_y
_atom_site_fract_z
_atom_site_occupancy
Sm1 Sm 0.000 0.000 0.000 1
Ho1 Ho 0.500 0.500 0.573 1
Sn1 Sn 0.000 0.000 0.518 1
Sn2 Sn 0.500 0.500 0.069 1
Os1 Os 0.000 0.500 0.295 1
# **Electronic total energy**: -6.9459 eV/atom



No. 4
# LaTbY PBE relaxed
data_LaTbY
_cell_length_a 7.833
_cell_length_b 7.833
_cell_length_c 7.833
_cell_angle_alpha 90.00
_cell_angle_beta 90.00
_cell_angle_gamma 90.00
_space_group_name_H-M_alt 'F -4 3 m'
_space_group_IT_number 216
_space_group_name_Hall 'F -4 2 3'
loop_
_atom_site_label
_atom_site_type_symbol
_atom_site_fract_x
_atom_site_fract_y
_atom_site_fract_z
_atom_site_occupancy
La1 La 0.000 0.000 0.000 1
Tb1 Tb 0.000 0.000 0.500 1
Y1 Y 0.250 0.250 0.250 1
# **Offset from the most stable computed form**: 0.000 eV per atom
# **Formation energy**: 0.72 eV per atom
# **Electronic total energy**: -4.6150 eV/atom



Which of these has the highest electronic total energy?
LaTbY



Which value of electronic total energy does entry 4 give?
-4.6150 eV/atom



Number 3 is which compound?
SmHoSn2Os2